1.
The following is a PBE calculation of a geometry-optimized Cr2FeSi structure, from Alexandria.

The space group is Cmm2 (No. 35) and the conventional cell measures 2.986, 4.048 and 7.656 Å, with angles of 90.00, 90.00 and 90.00 degrees. The asymmetric unit holds Cr at (0.000, 0.000, 0.000), Cr at (0.000, 0.500, 0.256), Fe at (0.000, 0.000, 0.512) and Si at (0.000, 0.500, 0.751).

The value obtained for the formation energy without anion corrections is -21 meV/atom.



2.
The following is a PBE calculation of a geometry-optimized CrFe2Si structure, from Alexandria.

The space group is Cm (No. 8) and the conventional cell measures 8.472, 2.758 and 3.980 Å, with angles of 90.00, 109.09 and 90.00 degrees. The asymmetric unit holds Cr at (0.000, 0.000, 0.000), Fe at (0.255, 0.000, 0.824), Fe at (0.493, 0.000, 0.493) and Si at (0.254, 0.500, 0.323).

The value obtained for the formation energy without anion corrections is -167 meV/atom.



3.
The following is a PBE calculation of a geometry-optimized CrFeSi structure, from Alexandria.

The space group is I4mm (No. 107) and the conventional cell measures 2.694, 2.694 and 9.064 Å, with angles of 90.00, 90.00 and 90.00 degrees. The asymmetric unit holds Cr at (0.000, 0.000, 0.000), Fe at (0.000, 0.000, 0.327) and Si at (0.000, 0.000, 0.675).

The value obtained for the formation energy without anion corrections is -263 meV/atom.



4.
The following is a PBE calculation of a geometry-optimized CrFeSi4 structure, from Alexandria.

The space group is F-43m (No. 216) and the conventional cell measures 6.755, 6.755 and 6.755 Å, with angles of 90.00, 90.00 and 90.00 degrees. The asymmetric unit holds Cr at (0.000, 0.000, 0.000), Fe at (0.250, 0.250, 0.750) and Si at (0.125, 0.125, 0.375).

The value obtained for the formation energy without anion corrections is 461 meV/atom.



5.
The following is a PBE calculation of a geometry-optimized CrFeSi2 structure, from Alexandria.

The space group is P4mm (No. 99) and the conventional cell measures 3.047, 3.047 and 5.062 Å, with angles of 90.00, 90.00 and 90.00 degrees. The asymmetric unit holds Cr at (0.000, 0.000, 0.000), Fe at (0.500, 0.500, 0.299), Si at (0.000, 0.000, 0.507) and Si at (0.500, 0.500, 0.787).

The value obtained for the formation energy without anion corrections is -257 meV/atom.



6.
The following is a PBE calculation of a geometry-optimized CrFe2Si structure, from Alexandria.

The space group is P4/mmm (No. 123) and the conventional cell measures 2.686, 2.686 and 5.945 Å, with angles of 90.00, 90.00 and 90.00 degrees. The asymmetric unit holds Cr at (0.000, 0.000, 0.000), Fe at (0.500, 0.500, 0.267) and Si at (0.000, 0.000, 0.500).

The value obtained for the formation energy without anion corrections is -220 meV/atom.



7.
The following is a PBE calculation of a geometry-optimized CrFe6Si structure, from Alexandria.

The space group is Cmmm (No. 65) and the conventional cell measures 7.082, 10.127 and 10.124 Å, with angles of 90.00, 90.00 and 90.00 degrees. The asymmetric unit holds Cr at (0.000, 0.000, 0.248), Cr at (0.000, 0.244, 0.000), Fe at (0.000, 0.000, 0.000), Fe at (0.000, 0.000, 0.500), Fe at (0.000, 0.249, 0.251), Fe at (0.000, 0.500, 0.000), Fe at (0.000, 0.500, 0.500), Fe at (0.247, 0.375, 0.375), Fe at (0.249, 0.375, 0.124), Si at (0.000, 0.245, 0.500) and Si at (0.000, 0.500, 0.247).

The value obtained for the formation energy without anion corrections is -111 meV/atom.



8.
The following is a PBE calculation of a geometry-optimized CrFeSi2 structure, from Alexandria.

The space group is C2/m (No. 12) and the conventional cell measures 7.802, 2.619 and 4.698 Å, with angles of 90.00, 102.48 and 90.00 degrees. The asymmetric unit holds Cr at (0.000, 0.000, 0.000), Fe at (0.000, 0.500, 0.500) and Si at (0.244, 0.000, 0.734).

The value obtained for the formation energy without anion corrections is -140 meV/atom.



9.
The following is a PBE calculation of a geometry-optimized CrFe2Si structure, from Alexandria.

The space group is P4/mmm (No. 123) and the conventional cell measures 3.940, 3.940 and 2.812 Å, with angles of 90.00, 90.00 and 90.00 degrees. The asymmetric unit holds Cr at (0.000, 0.000, 0.000), Fe at (0.000, 0.500, 0.500) and Si at (0.500, 0.500, 0.000).

The value obtained for the formation energy without anion corrections is -202 meV/atom.



10.
The following is a PBE calculation of a geometry-optimized CrFeSi structure, from Alexandria.

The space group is Cmmm (No. 65) and the conventional cell measures 3.890, 8.651 and 3.908 Å, with angles of 90.00, 90.00 and 90.00 degrees. The asymmetric unit holds Cr at (0.000, 0.174, 0.000), Fe at (0.000, 0.343, 0.500), Si at (0.000, 0.000, 0.500) and Si at (0.000, 0.500, 0.000).

The value obtained for the formation energy without anion corrections is -281 meV/atom.



11.
The following is a PBE calculation of a geometry-optimized CrFe2Si structure, from Alexandria.

The space group is Cmm2 (No. 35) and the conventional cell measures 3.125, 3.970 and 7.465 Å, with angles of 90.00, 90.00 and 90.00 degrees. The asymmetric unit holds Cr at (0.000, 0.000, 0.000), Fe at (0.000, 0.000, 0.515), Fe at (0.000, 0.500, 0.256) and Si at (0.000, 0.500, 0.752).

The value obtained for the formation energy without anion corrections is -35 meV/atom.



12.
The following is a PBE calculation of a geometry-optimized Cr2FeSi structure, from Alexandria.

The space group is P4/mmm (No. 123) and the conventional cell measures 3.941, 3.941 and 3.015 Å, with angles of 90.00, 90.00 and 90.00 degrees. The asymmetric unit holds Cr at (0.000, 0.500, 0.000), Fe at (0.000, 0.000, 0.500) and Si at (0.500, 0.500, 0.500).

The value obtained for the formation energy without anion corrections is -77 meV/atom.



The highest formation energy without anion corrections belongs to which entry? CrFeSi4



formation energy without anion corrections of number 10 (CrFeSi)? -281 meV/atom



What did the twelfth record say?
The following is a PBE calculation of a geometry-optimized Cr2FeSi structure, from Alexandria.

The space group is P4/mmm (No. 123) and the conventional cell measures 3.941, 3.941 and 3.015 Å, with angles of 90.00, 90.00 and 90.00 degrees. The asymmetric unit holds Cr at (0.000, 0.500, 0.000), Fe at (0.000, 0.000, 0.500) and Si at (0.500, 0.500, 0.500).

The value obtained for the formation energy without anion corrections is -77 meV/atom.



Copy entry 2 word for word.
The following is a PBE calculation of a geometry-optimized CrFe2Si structure, from Alexandria.

The space group is Cm (No. 8) and the conventional cell measures 8.472, 2.758 and 3.980 Å, with angles of 90.00, 109.09 and 90.00 degrees. The asymmetric unit holds Cr at (0.000, 0.000, 0.000), Fe at (0.255, 0.000, 0.824), Fe at (0.493, 0.000, 0.493) and Si at (0.254, 0.500, 0.323).

The value obtained for the formation energy without anion corrections is -167 meV/atom.